Below is an optimized crystal structure of BaHfMgPt, with properties calculated at the GGA-PBE level.

As for the energy above the lowest structure with this stoichiometry: 274 meV/atom. As for the crystal system: cubic. Its space group is F-43m, No. 216.

a b c (Å): 5.0904 5.0904 5.0904
angles (deg): 60.00 60.00 60.00
Positions (direct):
Ba 0.2500 0.2500 0.2500
Pt 0.5000 0.5000 0.5000
Mg 0.7500 0.7500 0.7500
Hf 0.0000 0.0000 0.0000